NaLiPmTl after structural relaxation, computed with PBE-GGA.

Cell and atoms, written as extended XYZ:
```
4
Lattice="0.000 3.748 3.748 3.748 0.000 3.748 3.748 3.748 0.000" Properties=species:S:1:pos:R:3 pbc="T T T"
Na 0.000 0.000 0.000
Li 1.874 1.874 1.874
Pm 3.748 3.748 3.748
Tl 5.623 5.623 5.623
```

Properties
energy of formation from the pure elements	-0.108	eV/atom